1.
Entry from Alexandria via LeMat-Bulk: a relaxed structure of Ba7HgAu5 (PBE).

Results
- Energy of formation: -0.62 eV per atom
- N(E_F): 0.70 states/eV/atom

a b c (Å): 8.2438 8.2438 28.4585
angles (deg): 90.03 90.03 33.52
Sites, in units of the cell vectors:
Ba (0.0000, 0.0000, 0.0000)
Ba (0.9997, 0.9997, 0.1538)
Ba (0.0912, 0.0912, 0.4332)
Ba (0.0913, 0.0913, 0.7204)
Ba (0.2691, 0.2691, 0.2206)
Ba (0.2693, 0.2693, 0.9332)
Ba (0.3607, 0.3607, 0.5000)
Ba (0.3606, 0.3606, 0.6537)
Ba (0.5439, 0.5439, 0.2906)
Ba (0.5443, 0.5443, 0.8632)
Ba (0.6347, 0.6347, 0.5768)
Ba (0.7260, 0.7260, 0.0770)
Ba (0.8161, 0.8161, 0.3633)
Ba (0.8164, 0.8164, 0.7905)
Hg (0.3937, 0.3937, 0.0769)
Hg (0.9672, 0.9672, 0.5769)
Au (0.1800, 0.1800, 0.3269)
Au (0.1803, 0.1803, 0.8268)
Au (0.4554, 0.4554, 0.3977)
Au (0.4556, 0.4556, 0.7560)
Au (0.6365, 0.6365, 0.1826)
Au (0.6368, 0.6368, 0.9713)
Au (0.7239, 0.7239, 0.4712)
Au (0.7238, 0.7238, 0.6825)
Au (0.9047, 0.9047, 0.2561)
Au (0.9051, 0.9051, 0.8977)

2.
Entry from Alexandria via LeMat-Bulk: a relaxed structure of LaSmScAg (PBE).

Results
- Energy of formation: -0.09 eV per atom
- N(E_F): 1.48 states/eV/atom

a b c (Å): 3.5994 3.5994 8.5589
angles (deg): 90.00 90.00 90.00
Sites, in units of the cell vectors:
La (0.0000, 0.0000, 0.0000)
Sm (0.5000, 0.5000, 0.6882)
Sc (0.5000, 0.5000, 0.2810)
Ag (0.0000, 0.0000, 0.4554)

3.
Entry from Alexandria via LeMat-Bulk: a relaxed structure of FeSbAu (PBE).

Results
- Formation energy (no corrections): 0.305 eV per atom
- N(E_F): 1.08 states/eV/atom

a b c (Å): 3.2705 3.2705 6.2242
angles (deg): 90.00 90.00 120.00
Sites, in units of the cell vectors:
Fe (0.0000, 0.0000, 0.0000)
Sb (0.3333, 0.6667, 0.3016)
Au (0.6667, 0.3333, 0.6973)

4.
Entry from Alexandria via LeMat-Bulk: a relaxed structure of BePdS2Cl (PBE).

Results
- Formation energy (no corrections): 0.293 eV per atom
- N(E_F): 1.15 states/eV/atom

a b c (Å): 4.4289 4.4289 4.2425
angles (deg): 90.00 90.00 90.00
Sites, in units of the cell vectors:
Be (0.0000, 0.0000, 0.0000)
Pd (0.5000, 0.5000, 0.5000)
S (0.0000, 0.5000, 0.0000)
S (0.5000, 0.0000, 0.0000)
Cl (0.0000, 0.0000, 0.5000)

5.
Entry from Alexandria via LeMat-Bulk: a relaxed structure of BeAl3S (PBE).

Results
- Formation energy (no corrections): 0.787 eV per atom
- N(E_F): 0.71 states/eV/atom

a b c (Å): 4.6453 4.6453 4.6453
angles (deg): 90.00 90.00 90.00
Sites, in units of the cell vectors:
Be (0.0000, 0.0000, 0.0000)
Al (0.0000, 0.5000, 0.5000)
Al (0.5000, 0.0000, 0.5000)
Al (0.5000, 0.5000, 0.0000)
S (0.5000, 0.5000, 0.5000)

6.
Entry from Alexandria via LeMat-Bulk: a relaxed structure of Ca2Sn2Bi (PBE).

Results
- Energy of formation: -0.50 eV per atom
- N(E_F): 0.42 states/eV/atom

a b c (Å): 4.4681 16.1118 4.2748
angles (deg): 90.00 90.00 90.00
Sites, in units of the cell vectors:
Ca (0.0000, 0.1209, 0.0000)
Ca (0.0000, 0.8791, 0.0000)
Ca (0.5000, 0.3791, 0.0000)
Ca (0.5000, 0.6209, 0.0000)
Sn (0.0000, 0.3063, 0.5000)
Sn (0.0000, 0.6937, 0.5000)
Sn (0.5000, 0.1937, 0.5000)
Sn (0.5000, 0.8063, 0.5000)
Bi (0.0000, 0.5000, 0.5000)
Bi (0.5000, 0.0000, 0.5000)

7.
Entry from Alexandria via LeMat-Bulk: a relaxed structure of Ho2PbS (PBE).

Results
- Formation energy (no corrections): -1.200 eV per atom
- N(E_F): 0.54 states/eV/atom

a b c (Å): 6.6571 3.8288 8.1418
angles (deg): 90.00 105.44 90.00
Sites, in units of the cell vectors:
Ho (0.2312, 0.0000, 0.1980)
Ho (0.2688, 0.5000, 0.8020)
Ho (0.7312, 0.5000, 0.1980)
Ho (0.7688, 0.0000, 0.8020)
Pb (0.0000, 0.0000, 0.5000)
Pb (0.5000, 0.5000, 0.5000)
S (0.0000, 0.5000, 0.0000)
S (0.5000, 0.0000, 0.0000)

8.
Entry from Alexandria via LeMat-Bulk: a relaxed structure of BeSn (PBE).

Results
- Energy of formation: 0.45 eV per atom
- N(E_F): 0.51 states/eV/atom

a b c (Å): 6.7980 6.2905 5.2324
angles (deg): 71.64 61.43 46.93
Sites, in units of the cell vectors:
Be (0.0494, 0.7006, 0.7006)
Be (0.2994, 0.9506, 0.9506)
Be (0.7006, 0.0494, 0.0494)
Be (0.9506, 0.2994, 0.2994)
Sn (0.1663, 0.5837, 0.1663)
Sn (0.4163, 0.8337, 0.4163)
Sn (0.5837, 0.1663, 0.5837)
Sn (0.8337, 0.4163, 0.8337)

9.
Entry from Alexandria via LeMat-Bulk: a relaxed structure of YRe2Pb (PBE).

Results
- Energy of formation: 0.69 eV per atom
- N(E_F): 1.30 states/eV/atom

a b c (Å): 4.4628 4.4628 7.8648
angles (deg): 90.00 90.00 90.00
Sites, in units of the cell vectors:
Y (0.0000, 0.0000, 0.0000)
Y (0.5000, 0.5000, 0.5000)
Re (0.0000, 0.0000, 0.5000)
Re (0.0000, 0.5000, 0.2500)
Re (0.5000, 0.0000, 0.7500)
Re (0.5000, 0.5000, 0.0000)
Pb (0.0000, 0.5000, 0.7500)
Pb (0.5000, 0.0000, 0.2500)

10.
Entry from Alexandria via LeMat-Bulk: a relaxed structure of Zr3ScCr (PBE).

Results
- Energy of formation: 1.34 eV per atom
- N(E_F): 1.90 states/eV/atom

a b c (Å): 5.0260 5.0260 5.0260
angles (deg): 90.00 90.00 90.00
Sites, in units of the cell vectors:
Zr (0.0000, 0.0000, 0.5000)
Zr (0.0000, 0.5000, 0.0000)
Zr (0.5000, 0.0000, 0.0000)
Sc (0.0000, 0.0000, 0.0000)
Cr (0.5000, 0.5000, 0.5000)

11.
Entry from Alexandria via LeMat-Bulk: a relaxed structure of MgAl2Ru (PBE).

Results
- Energy of formation: 0.23 eV per atom
- N(E_F): 0.80 states/eV/atom

a b c (Å): 3.9035 3.9035 18.3985
angles (deg): 90.00 90.00 90.00
Sites, in units of the cell vectors:
Mg (0.0000, 0.0000, 0.0000)
Mg (0.0000, 0.5000, 0.2500)
Mg (0.5000, 0.0000, 0.7500)
Mg (0.5000, 0.5000, 0.5000)
Al (0.2233, 0.2500, 0.6250)
Al (0.2500, 0.7233, 0.8750)
Al (0.2500, 0.7767, 0.3750)
Al (0.2767, 0.2500, 0.1250)
Al (0.7233, 0.7500, 0.1250)
Al (0.7500, 0.2233, 0.3750)
Al (0.7500, 0.2767, 0.8750)
Al (0.7767, 0.7500, 0.6250)
Ru (0.0000, 0.0000, 0.5000)
Ru (0.0000, 0.5000, 0.7500)
Ru (0.5000, 0.0000, 0.2500)
Ru (0.5000, 0.5000, 0.0000)

12.
Entry from Alexandria via LeMat-Bulk: a relaxed structure of Li6AlCd (PBE).

Results
- Energy of formation: -0.13 eV per atom
- N(E_F): 0.32 states/eV/atom

a b c (Å): 4.5584 6.7313 9.0743
angles (deg): 90.00 90.00 90.00
Sites, in units of the cell vectors:
Li (0.0000, 0.0000, 0.0000)
Li (0.0000, 0.2370, 0.2700)
Li (0.0000, 0.2630, 0.7700)
Li (0.0000, 0.5000, 0.5000)
Li (0.0000, 0.7370, 0.7700)
Li (0.0000, 0.7630, 0.2700)
Li (0.5000, 0.0000, 0.3048)
Li (0.5000, 0.2368, 0.0256)
Li (0.5000, 0.2632, 0.5256)
Li (0.5000, 0.5000, 0.8048)
Li (0.5000, 0.7368, 0.5256)
Li (0.5000, 0.7632, 0.0256)
Al (0.0000, 0.0000, 0.5321)
Al (0.0000, 0.5000, 0.0321)
Cd (0.5000, 0.0000, 0.7583)
Cd (0.5000, 0.5000, 0.2583)